# UFeSb2O8 | the Alexandria database | PBE+U | optimized geometry
# E_tot ... -7.299 eV/atom
# Symmetry ... No. 65
# M_tot ... 4.5 μB per cell
data_UFeSb2O8
_symmetry_space_group_name_H-M 'P 1'
_symmetry_Int_Tables_number 1
_cell_length_a 4.965
_cell_length_b 4.965
_cell_length_c 6.569
_cell_angle_alpha 90.00
_cell_angle_beta 90.00
_cell_angle_gamma 90.65
loop_
_symmetry_equiv_pos_as_xyz
'x,y,z'
loop_
_atom_site_label
_atom_site_type_symbol
_atom_site_fract_x
_atom_site_fract_y
_atom_site_fract_z
_atom_site_occupancy
U1 U 0.000 0.000 0.000 1
Fe1 Fe 0.000 0.000 0.500 1
Sb1 Sb 0.500 0.500 0.259 1
Sb2 Sb 0.500 0.500 0.741 1
O1 O 0.199 0.199 0.240 1
O2 O 0.199 0.199 0.760 1
O3 O 0.310 0.690 0.500 1
O4 O 0.315 0.685 0.000 1
O5 O 0.685 0.315 0.000 1
O6 O 0.690 0.310 0.500 1
O7 O 0.801 0.801 0.240 1
O8 O 0.801 0.801 0.760 1